# 1
A geometry-optimized Tb2LuO structure. Source: the Alexandria database, functional PBE-GGA.

Results
Calculated volume ... 23.37 Å³/atom
Formation energy (no corrections) ... -1.34 eV/atom
Distance to the lowest polymorph of the same formula ... 0.0 meV per atom
Spin magnetization ... 0.0 μB per formula unit

Geometry as CIF:
```
data_Tb2LuO
_chemical_formula_sum 'Tb6 Lu3 O3'
_cell_length_a 3.5437
_cell_length_b 3.5437
_cell_length_c 25.7811
_cell_angle_alpha 90.00
_cell_angle_beta 90.00
_cell_angle_gamma 120.00
_symmetry_space_group_name_H-M 'R -3 m'
_symmetry_Int_Tables_number 166
_symmetry_space_group_name_Hall '-R 3 2"'
loop_
_atom_site_label
_atom_site_type_symbol
_atom_site_fract_x
_atom_site_fract_y
_atom_site_fract_z
_atom_site_occupancy
Tb1 Tb 0.0000 0.0000 0.2193 1
Lu1 Lu 0.0000 0.0000 0.0000 1
O1 O 0.0000 0.0000 0.5000 1
```

# 2
A geometry-optimized Th3TeRuC structure. Source: the Alexandria database, functional PBE-GGA.

Results
Calculated volume ... 24.97 Å³/atom
Formation energy (no corrections) ... -0.59 eV/atom
Spin magnetization ... 0.0 μB per formula unit

Geometry as CIF:
```
data_Th3TeRuC
_chemical_formula_sum 'Th6 Te2 Ru2 C2'
_cell_length_a 8.857
_cell_length_b 3.946
_cell_length_c 9.110
_cell_angle_alpha 90.00
_cell_angle_beta 109.80
_cell_angle_gamma 90.00
_symmetry_space_group_name_H-M 'P 1 21/m 1'
_symmetry_Int_Tables_number 11
_symmetry_space_group_name_Hall '-P 2yb'
loop_
_atom_site_label
_atom_site_type_symbol
_atom_site_fract_x
_atom_site_fract_y
_atom_site_fract_z
_atom_site_occupancy
Th1 Th 0.045 0.250 0.361 1
Th2 Th 0.216 0.250 0.958 1
Th3 Th 0.376 0.750 0.691 1
Te1 Te 0.314 0.750 0.310 1
Ru1 Ru 0.432 0.750 0.072 1
C1 C 0.156 0.250 0.661 1
```

# 3
A geometry-optimized LiErGaNi structure. Source: the Alexandria database, functional PBE-GGA.

Results
Calculated volume ... 16.10 Å³/atom
Spin magnetization ... 0.0 μB per formula unit
Calculated formation energy ... -0.41 eV per atom

Geometry as CIF:
```
data_LiErGaNi
_chemical_formula_sum 'Li4 Er4 Ga4 Ni4'
_cell_length_a 6.363
_cell_length_b 6.363
_cell_length_c 6.363
_cell_angle_alpha 90.00
_cell_angle_beta 90.00
_cell_angle_gamma 90.00
_symmetry_space_group_name_H-M 'F -4 3 m'
_symmetry_Int_Tables_number 216
_symmetry_space_group_name_Hall 'F -4 2 3'
loop_
_atom_site_label
_atom_site_type_symbol
_atom_site_fract_x
_atom_site_fract_y
_atom_site_fract_z
_atom_site_occupancy
Li1 Li 0.000 0.000 0.000 1
Er1 Er 0.250 0.250 0.250 1
Ga1 Ga 0.250 0.250 0.750 1
Ni1 Ni 0.000 0.000 0.500 1
```

# 4
A geometry-optimized Na3Hg4Sb4 structure. Source: the Alexandria database, functional PBE-GGA.

Results
Calculated volume ... 27.02 Å³/atom
Formation energy (no corrections) ... -0.13 eV/atom
Spin magnetization ... 0.0 μB per formula unit

Geometry as CIF:
```
data_Na3Hg4Sb4
_chemical_formula_sum 'Na3 Hg4 Sb4'
_cell_length_a 3.327
_cell_length_b 5.537
_cell_length_c 16.253
_cell_angle_alpha 86.23
_cell_angle_beta 84.17
_cell_angle_gamma 89.81
_symmetry_space_group_name_H-M 'P -1'
_symmetry_Int_Tables_number 2
_symmetry_space_group_name_Hall '-P 1'
loop_
_atom_site_label
_atom_site_type_symbol
_atom_site_fract_x
_atom_site_fract_y
_atom_site_fract_z
_atom_site_occupancy
Na1 Na 0.000 0.000 0.000 1
Na2 Na 0.141 0.649 0.722 1
Hg1 Hg 0.273 0.272 0.452 1
Hg2 Hg 0.408 0.924 0.186 1
Sb1 Sb 0.311 0.792 0.377 1
Sb2 Sb 0.454 0.457 0.091 1
```

Repeat the first record exactly.
A geometry-optimized Tb2LuO structure. Source: the Alexandria database, functional PBE-GGA.

Results
Calculated volume ... 23.37 Å³/atom
Formation energy (no corrections) ... -1.34 eV/atom
Distance to the lowest polymorph of the same formula ... 0.0 meV per atom
Spin magnetization ... 0.0 μB per formula unit

Geometry as CIF:
```
data_Tb2LuO
_chemical_formula_sum 'Tb6 Lu3 O3'
_cell_length_a 3.5437
_cell_length_b 3.5437
_cell_length_c 25.7811
_cell_angle_alpha 90.00
_cell_angle_beta 90.00
_cell_angle_gamma 120.00
_symmetry_space_group_name_H-M 'R -3 m'
_symmetry_Int_Tables_number 166
_symmetry_space_group_name_Hall '-R 3 2"'
loop_
_atom_site_label
_atom_site_type_symbol
_atom_site_fract_x
_atom_site_fract_y
_atom_site_fract_z
_atom_site_occupancy
Tb1 Tb 0.0000 0.0000 0.2193 1
Lu1 Lu 0.0000 0.0000 0.0000 1
O1 O 0.0000 0.0000 0.5000 1
```

Q: Which value of spin magnetization does entry 3 give?
A: 0.0 μB per formula unit